(1)
Here is a geometry-optimized BaLi2Tc structure from Alexandria. Energies are from PBE.

Output
SG   P4mm (99)
Polymorph energy (0 for the lowest one)   0 meV/atom
Formation energy from the elements   2.6 eV/f.u.
Fermi-level density of states   0.589 states/eV per atom

Cell lengths 3.443, 3.443, 8.084 Å; angles 90.00, 90.00, 90.00 degrees
Site moments in Bohr magnetons follow the coordinates.
Positions (direct):
Ba: 0.500 0.500 0.705  -0.05
Li: 0.000 0.000 0.092  -0.01
Li: 0.500 0.500 0.273  -0.01
Tc: 0.000 0.000 0.431  1.66

---

(2)
Here is a geometry-optimized BaLi2Tc structure from Alexandria. Energies are from PBE.

Output
SG   P4/mmm (123)
Polymorph energy (0 for the lowest one)   136 meV/atom
Formation energy from the elements   3.1 eV/f.u.
Fermi-level density of states   1.171 states/eV per atom

Cell lengths 3.043, 3.043, 9.182 Å; angles 90.00, 90.00, 90.01 degrees
Site moments in Bohr magnetons follow the coordinates.
Positions (direct):
Ba: 0.500 0.500 0.750  0.04
Li: 0.000 0.000 0.065  0.00
Li: 0.000 0.000 0.435  0.00
Tc: 0.500 0.500 0.250  0.65